# ZnPd2 (PBE-GGA, optimized geometry)
data_ZnPd2
_space_group_name_H-M_alt 'P 1'
_space_group_IT_number 1
_cell_length_a 7.822
_cell_length_b 7.822
_cell_length_c 7.822
_cell_angle_alpha 60.00
_cell_angle_beta 60.00
_cell_angle_gamma 60.00
loop_
_space_group_symop_operation_xyz
'x,y,z'
loop_
_atom_site_label
_atom_site_type_symbol
_atom_site_fract_x
_atom_site_fract_y
_atom_site_fract_z
Zn1 Zn 0.125 0.125 0.125
Zn2 Zn 0.875 0.875 0.875
Pd1 Pd 0.000 0.000 0.000
Pd2 Pd 0.000 0.000 0.500
Pd3 Pd 0.000 0.500 0.000
Pd4 Pd 0.500 0.000 0.000
# - DFT total energy: -2.61 eV/atom
# - ΔH_f (0 K): 1.266 eV/atom